Zr2FeAgC | GGA-PBE | relaxed

Lattice parameters (Å, degrees): 4.6582 4.6582 3.6995 90.00 90.00 90.00
Atoms (fractional coordinates):
1 Zr 0.0000 0.5000 0.0000
2 Zr 0.5000 0.0000 0.0000
3 Fe 0.0000 0.0000 0.5000
4 Ag 0.5000 0.5000 0.5000
5 C 0.0000 0.0000 0.0000

Results
As for the relative energy among the computed polymorphs: 0.00 eV/f.u. Its total energy is -38.945 eV/cell.

---

Ga2AgC2 | GGA-PBE | relaxed

Lattice parameters (Å, degrees): 6.7421 6.7421 2.8093 90.00 90.00 90.00
Atoms (fractional coordinates):
1 Ga 0.1397 0.3603 0.0000
2 Ga 0.3603 0.8603 0.0000
3 Ga 0.6397 0.1397 0.0000
4 Ga 0.8603 0.6397 0.0000
5 Ag 0.0000 0.0000 0.0000
6 Ag 0.5000 0.5000 0.0000
7 C 0.1598 0.6598 0.5000
8 C 0.3402 0.1598 0.5000
9 C 0.6598 0.8402 0.5000
10 C 0.8402 0.3402 0.5000

Results
As for the relative energy among the computed polymorphs: 1.24 eV/f.u. Its total energy is -38.632 eV/cell.

---

GaAgC | GGA-PBE | relaxed

Lattice parameters (Å, degrees): 3.1449 3.2125 10.1339 98.48 98.75 90.61
Atoms (fractional coordinates):
1 Ga 0.0964 0.0901 0.1907
2 Ga 0.9036 0.9099 0.8093
3 Ag 0.2981 0.7965 0.5966
4 Ag 0.7019 0.2035 0.4034
5 C 0.0337 0.5327 0.0651
6 C 0.9663 0.4673 0.9349

Results
Its total energy is -27.249 eV/cell.

---

GaAgC3 | GGA-PBE | relaxed

Lattice parameters (Å, degrees): 4.0392 4.0392 4.0392 90.00 90.00 90.00
Atoms (fractional coordinates):
1 Ga 0.0000 0.0000 0.0000
2 Ag 0.5000 0.5000 0.5000
3 C 0.0000 0.0000 0.5000
4 C 0.0000 0.5000 0.0000
5 C 0.5000 0.0000 0.0000

Results
Its total energy is -19.983 eV/cell.

---

Ga2AgC2 | GGA-PBE | relaxed

Lattice parameters (Å, degrees): 3.6623 3.6623 10.0983 90.00 90.00 90.00
Atoms (fractional coordinates):
1 Ga 0.0000 0.0000 0.1380
2 Ga 0.0000 0.0000 0.8620
3 Ga 0.5000 0.5000 0.3620
4 Ga 0.5000 0.5000 0.6380
5 Ag 0.0000 0.0000 0.5000
6 Ag 0.5000 0.5000 0.0000
7 C 0.0000 0.5000 0.2500
8 C 0.0000 0.5000 0.7500
9 C 0.5000 0.0000 0.2500
10 C 0.5000 0.0000 0.7500

Results
As for the relative energy among the computed polymorphs: 0.00 eV/f.u. Its total energy is -41.110 eV/cell.

---

GaAgC | GGA-PBE | relaxed

Lattice parameters (Å, degrees): 3.2580 5.5925 5.8371 75.00 89.83 73.74
Atoms (fractional coordinates):
1 Ga 0.0000 0.0000 0.0000
2 Ga 0.0926 0.8001 0.6369
3 Ag 0.7588 0.4862 0.0415
4 Ag 0.8306 0.3284 0.5829
5 C 0.5721 0.8472 0.1948
6 C 0.6094 0.7664 0.4336

Results
Its total energy is -26.820 eV/cell.

---

GaAgC | GGA-PBE | relaxed

Lattice parameters (Å, degrees): 8.0457 3.3223 6.6701 90.00 90.00 90.00
Atoms (fractional coordinates):
1 Ga 0.0428 0.2500 0.1627
2 Ga 0.4572 0.7500 0.6627
3 Ga 0.5428 0.2500 0.3373
4 Ga 0.9572 0.7500 0.8373
5 Ag 0.1433 0.7500 0.4785
6 Ag 0.3567 0.2500 0.9785
7 Ag 0.6433 0.7500 0.0215
8 Ag 0.8567 0.2500 0.5215
9 C 0.1560 0.7500 0.0434
10 C 0.3440 0.2500 0.5434
11 C 0.6560 0.7500 0.4566
12 C 0.8440 0.2500 0.9566

Results
Its total energy is -48.998 eV/cell.

---

GaAgC | GGA-PBE | relaxed

Lattice parameters (Å, degrees): 4.6061 4.6061 7.1797 90.00 90.00 120.00
Atoms (fractional coordinates):
1 Ga 0.0000 0.0000 0.2500
2 Ga 0.0000 0.0000 0.7500
3 Ag 0.3333 0.6667 0.2500
4 Ag 0.6667 0.3333 0.7500
5 C 0.0000 0.0000 0.0000
6 C 0.0000 0.0000 0.5000

Results
Its total energy is -21.286 eV/cell.

---

no.,total moment (μB/atom),density (Mg/m³),calculated formation energy (eV per atom)
1,0.118,7.4,-0.262
2,0.000,7.1,1.607
3,0.000,6.3,0.493
4,0.000,5.4,2.713
5,0.000,6.7,1.360
6,0.000,6.4,0.564
7,0.000,7.1,0.951
8,0.000,4.8,1.486